--- w ---
DFT (PBE) results for a relaxed ZrCrBi2 crystal.

Cell: 4.9845 4.9845 4.9845 Å, 60.00 60.00 60.00°
Last column: nearest neighbours and their distance in Å.
Fractional coordinates of all 4 atoms:
1 Zr 0.0000 0.0000 0.0000  8 Bi 3.05
2 Cr 0.5000 0.5000 0.5000  8 Bi 3.05
3 Bi 0.2500 0.2500 0.2500  4 Zr 3.05, 4 Cr 3.05
4 Bi 0.7500 0.7500 0.7500  4 Cr 3.05, 4 Zr 3.05

## Properties
calculated volume: 88 Å³/cell
total magnetization: 0.00 μB/f.u.



--- x ---
DFT (PBE) results for a relaxed ZrCrBi2 crystal.

Cell: 6.4369 6.4369 6.4369 Å, 105.18 105.18 118.45°
Last column: nearest neighbours and their distance in Å.
Fractional coordinates of all 8 atoms:
1 Zr 0.0000 0.0000 0.0000  4 Bi 3.01, 2 Cr 3.29
2 Zr 0.7500 0.2500 0.5000  4 Bi 3.01, 2 Cr 3.29
3 Cr 0.2500 0.7500 0.5000  4 Bi 2.77
4 Cr 0.5000 0.5000 0.0000  4 Bi 2.77
5 Bi 0.1474 0.6250 0.0224  2 Cr 2.77, 2 Zr 3.01
6 Bi 0.3750 0.3974 0.5224  2 Cr 2.77, 2 Zr 3.01
7 Bi 0.6026 0.1250 0.9776  2 Cr 2.77, 2 Zr 3.01
8 Bi 0.8750 0.8526 0.4776  2 Cr 2.77, 2 Zr 3.01

## Properties
calculated volume: 201 Å³/cell
total magnetization: 3.72 μB/f.u.



Consider the structures shown above. The most stable of them is x.